(1)
An optimized crystal structure of ScTiFe2Te. Source: Alexandria, functional GGA-PBEsol.

Results
M_tot in μB/f.u.: 2.7
Formation energy without anion corrections in meV/atom: 1082

a = 4.3657 Å, b = 4.3657 Å, c = 5.2380 Å
α = 90.00°, β = 90.00°, γ = 90.00°
Closest atoms and distances in Å follow each position.
Space group P4/mmm (No. 123)
Unique sites:
Sc 0.0000 0.0000 0.0000 x1  4 Fe 2.18
Ti 0.5000 0.5000 0.5000 x1  4 Te 3.09, 8 Fe 3.41
Fe 0.0000 0.5000 0.0000 x2  2 Sc 2.18
Te 0.0000 0.0000 0.5000 x1  2 Sc 2.62

---

(2)
An optimized crystal structure of Cr2Ni2I. Source: Alexandria, functional GGA-PBEsol.

Results
M_tot in μB/f.u.: 6.7
Formation energy without anion corrections in meV/atom: 683

a = 3.4006 Å, b = 3.4006 Å, c = 13.6808 Å
α = 90.00°, β = 90.00°, γ = 90.00°
Closest atoms and distances in Å follow each position.
Space group I4/mmm (No. 139)
Unique sites:
Cr 0.0000 0.0000 0.1236 x4  4 Ni 2.43
Ni 0.0000 0.5000 0.2500 x4  4 Ni 2.40, 4 Cr 2.43
I 0.0000 0.0000 0.5000 x2  8 Cr 2.94

---

(3)
An optimized crystal structure of LiReTc2. Source: Alexandria, functional GGA-PBEsol.

Results
E above lowest polymorph in meV/atom: 161
M_tot in μB/f.u.: 0.0
E_form in eV per atom: 0.38

a = 5.1980 Å, b = 7.9906 Å, c = 2.6454 Å
α = 90.00°, β = 90.00°, γ = 90.00°
Closest atoms and distances in Å follow each position.
Space group Cmmm (No. 65)
Unique sites:
Li 0.0000 0.0000 0.0000 x2  2 Re 2.60, 2 Li 2.65, 8 Tc 2.73
Re 0.0000 0.5000 0.0000 x2  2 Li 2.60, 2 Re 2.65, 8 Tc 2.73
Tc 0.2500 0.2500 0.5000 x4  4 Tc 2.60-2.65, 4 Li 2.73, 4 Re 2.73

---

no.,calculated volume (Å³ per atom)
1,20.0
2,15.8
3,13.7